No. 1
Here is crystalline AcTlV2O7 at its relaxed geometry from the Alexandria database. Energies are from PBE+U.

## Properties
- Calculated total energy: -7.22 eV per atom
- Crystal system: tetragonal

Geometry as POSCAR:
```
AcTlV2O7
1.0
3.762 0.000 0.000
0.000 3.762 0.000
0.000 0.000 10.994
Ac Tl V O
1 1 2 7
Cartesian
0.000 0.000 0.000
0.000 0.000 5.497
1.881 1.881 2.338
1.881 1.881 8.655
0.000 1.881 1.985
0.000 1.881 9.009
1.881 0.000 1.985
1.881 0.000 9.009
1.881 1.881 0.000
1.881 1.881 4.013
1.881 1.881 6.981
```

---

No. 2
Here is crystalline AcTlVO4 at its relaxed geometry from the Alexandria database. Energies are from PBE+U.

## Properties
- Calculated total energy: -7.03 eV per atom
- Crystal system: monoclinic

Geometry as POSCAR:
```
AcTlVO4
1.0
6.167 0.000 0.000
0.000 5.855 0.000
-2.646 0.000 7.885
Ac Tl V O
2 2 2 8
Cartesian
0.111 1.464 3.625
3.410 4.391 4.261
-2.259 1.464 6.956
5.779 4.391 0.929
0.344 4.391 5.566
3.176 1.464 2.319
-0.846 2.986 5.452
-0.846 5.796 5.452
1.600 1.464 1.514
0.972 4.391 3.813
2.549 1.464 4.072
1.921 4.391 6.371
4.366 0.059 2.433
4.366 2.868 2.433
```

---

No. 3
Here is crystalline Ac3TlV4O12 at its relaxed geometry from the Alexandria database. Energies are from PBE+U.

## Properties
- Calculated total energy: -7.40 eV per atom
- Crystal system: trigonal

Geometry as POSCAR:
```
Ac3TlV4O12
1.0
6.087 3.514 3.212
-6.087 3.514 3.212
0.000 -7.029 3.212
Ac Tl V O
3 1 4 12
Cartesian
-3.343 -1.238 3.212
2.744 -2.276 3.212
0.599 3.514 3.212
0.000 0.000 0.000
-2.742 -4.750 4.818
0.000 0.000 4.818
-2.742 4.750 4.818
5.485 0.000 4.818
-3.618 -3.263 4.607
-4.917 0.000 4.818
-1.017 -4.765 5.030
-1.865 0.000 4.818
-3.618 3.263 5.030
2.458 -4.258 4.818
0.932 -1.615 4.818
-1.017 4.765 4.607
0.932 1.615 4.818
4.635 -1.502 4.607
2.458 4.258 4.818
4.635 1.502 5.030
```

---

No. 4
Here is crystalline AcTlVO5 at its relaxed geometry from the Alexandria database. Energies are from PBE+U.

## Properties
- Calculated total energy: -6.86 eV per atom
- Crystal system: monoclinic

Geometry as POSCAR:
```
AcTlVO5
1.0
3.996 -4.890 0.000
3.996 4.890 0.000
-3.561 0.000 8.139
Ac Tl V O
2 2 2 10
Cartesian
0.000 0.000 0.000
-1.780 0.000 4.069
1.325 1.609 6.104
3.105 -1.609 2.035
3.105 1.677 2.035
1.325 -1.677 6.104
1.325 3.817 6.104
1.973 2.700 2.872
2.282 0.598 0.911
4.238 2.700 1.197
0.502 -0.598 4.980
3.929 0.598 3.158
0.192 -2.700 6.942
2.148 -0.598 7.228
2.458 -2.700 5.267
3.105 -3.817 2.035
```

---

No. 5
Here is crystalline Ac2TlVO6 at its relaxed geometry from the Alexandria database. Energies are from PBE+U.

## Properties
- Calculated total energy: -7.09 eV per atom
- Crystal system: tetragonal

Geometry as POSCAR:
```
Ac2TlVO6
1.0
5.746 0.000 0.000
0.000 5.746 0.000
0.000 0.000 5.584
Ac Tl V O
2 1 1 6
Cartesian
0.000 2.873 0.000
2.873 0.000 0.000
0.000 0.000 2.960
2.873 2.873 3.569
0.000 0.000 0.509
1.637 1.637 4.224
1.637 4.108 4.224
2.873 2.873 1.814
4.108 1.637 4.224
4.108 4.108 4.224
```

---

No. 6
Here is crystalline AcTl2V2O6 at its relaxed geometry from the Alexandria database. Energies are from PBE+U.

## Properties
- Calculated total energy: -6.66 eV per atom
- Crystal system: trigonal

Geometry as POSCAR:
```
AcTl2V2O6
1.0
3.164 1.827 6.408
-3.164 1.827 6.408
0.000 -3.654 6.408
Ac Tl V O
1 2 2 6
Cartesian
0.000 0.000 0.000
0.000 0.000 3.918
0.000 0.000 15.305
0.000 0.000 8.140
0.000 0.000 11.084
0.000 -1.755 8.031
-1.520 0.878 8.031
-1.520 -0.878 11.193
1.520 0.878 8.031
1.520 -0.878 11.193
0.000 1.755 11.193
```

---

No. 7
Here is crystalline AcTl2WO8 at its relaxed geometry from the Alexandria database. Energies are from PBE+U.

## Properties
- Calculated total energy: -6.20 eV per atom
- Crystal system: orthorhombic

Geometry as POSCAR:
```
AcTl2WO8
1.0
3.580 -3.587 0.000
3.580 3.587 0.000
0.000 0.000 7.176
Ac Tl W O
1 2 1 8
Cartesian
0.000 0.000 0.000
3.580 0.000 1.912
3.580 0.000 5.264
0.000 0.000 3.588
1.312 0.000 2.158
1.312 0.000 5.018
3.580 1.594 3.588
3.580 1.256 0.000
3.580 -1.256 0.000
3.580 -1.594 3.588
5.848 0.000 2.158
5.848 0.000 5.018
```

---

No. 8
Here is crystalline AcTl2W3O12 at its relaxed geometry from the Alexandria database. Energies are from PBE+U.

## Properties
- Calculated total energy: -6.94 eV per atom
- Crystal system: trigonal

Geometry as POSCAR:
```
AcTl2W3O12
1.0
3.790 2.188 5.909
-3.790 2.188 5.909
0.000 -4.377 5.909
Ac Tl W O
1 2 3 12
Cartesian
0.000 0.000 0.000
0.000 0.000 6.267
0.000 0.000 11.460
-3.790 0.000 8.864
-1.895 1.094 2.955
1.895 1.094 2.955
-2.442 -1.410 9.071
0.000 -2.003 4.854
-1.735 1.002 4.854
0.000 -2.819 8.656
-2.442 1.410 8.656
-1.735 -1.002 12.874
1.735 1.002 4.854
2.442 -1.410 9.071
0.000 2.819 9.071
1.735 -1.002 12.874
0.000 2.003 12.874
2.442 1.410 8.656
```

---

No. 9
Here is crystalline AcTl2WO6 at its relaxed geometry from the Alexandria database. Energies are from PBE+U.

## Properties
- Calculated total energy: -6.44 eV per atom
- Crystal system: monoclinic

Geometry as POSCAR:
```
AcTl2WO6
1.0
6.150 0.000 0.000
0.000 6.181 0.000
-6.128 0.000 8.723
Ac Tl W O
2 4 2 12
Cartesian
0.000 0.000 0.000
-3.064 3.090 4.361
-3.029 0.105 6.549
0.035 2.985 2.188
-0.013 3.195 6.535
3.051 6.075 2.174
0.011 0.000 4.361
3.075 3.090 0.000
-0.473 0.087 2.459
-3.537 3.003 6.820
1.508 4.222 0.354
-1.555 5.049 4.715
1.990 1.488 0.345
-1.074 1.602 4.706
1.096 4.578 4.016
-1.968 4.692 8.378
1.578 1.131 4.007
-1.486 1.959 8.369
3.559 3.177 1.902
0.495 6.093 6.264
```

---

No. 10
Here is crystalline AcTlW2O7 at its relaxed geometry from the Alexandria database. Energies are from PBE+U.

## Properties
- Calculated total energy: -7.27 eV per atom
- Crystal system: tetragonal

Geometry as POSCAR:
```
AcTlW2O7
1.0
4.025 0.000 0.000
0.000 4.025 0.000
0.000 0.000 10.994
Ac Tl W O
1 1 2 7
Cartesian
0.000 0.000 0.000
0.000 0.000 5.497
2.013 2.013 2.199
2.013 2.013 8.795
0.000 2.013 1.809
0.000 2.013 9.185
2.013 0.000 1.809
2.013 0.000 9.185
2.013 2.013 0.000
2.013 2.013 3.997
2.013 2.013 6.997
```

---

No. 11
Here is crystalline Ac2Tl2WO6 at its relaxed geometry from the Alexandria database. Energies are from PBE+U.

## Properties
- Calculated total energy: -6.64 eV per atom
- Crystal system: monoclinic

Geometry as POSCAR:
```
Ac2Tl2WO6
1.0
3.228 -5.439 0.000
3.228 5.439 0.000
-1.852 0.000 6.419
Ac Tl W O
2 2 1 6
Cartesian
3.228 3.648 0.000
3.228 -3.648 0.000
2.303 1.675 3.210
2.303 -1.675 3.210
3.228 0.000 0.000
0.426 1.569 5.404
1.399 0.000 1.252
0.426 -1.569 5.404
4.180 1.569 1.016
3.206 0.000 5.168
4.180 -1.569 1.016
```

---

No. 12
Here is crystalline Ac2TlWO6 at its relaxed geometry from the Alexandria database. Energies are from PBE+U.

## Properties
- Calculated total energy: -7.25 eV per atom
- Crystal system: triclinic

Geometry as POSCAR:
```
Ac2TlWO6
1.0
6.166 0.000 0.000
3.073 5.367 0.000
3.082 -1.696 5.573
Ac Tl W O
2 1 1 6
Cartesian
0.000 0.000 0.000
3.006 1.840 2.492
6.149 0.076 4.319
6.114 3.606 2.193
5.191 2.388 3.511
4.341 3.580 1.171
7.691 3.438 3.558
3.896 -0.325 1.210
6.929 2.021 1.200
8.531 -0.279 3.513
```